[1]
# Pm12TmRu7 | the Alexandria database | PBE | optimized geometry
# Total energy (eV per atom): -6.467
# Formation energy (meV/atom): -147
# Calculated volume (Å³/cell): 564.4
# Fermi-level density of states (states/eV/atom): 0.760
# SG: R-3 (148)
data_Pm12TmRu7
_chemical_formula_sum 'Pm12 Tm1 Ru7'
_symmetry_space_group_name_H-M 'P 1'
_symmetry_Int_Tables_number 1
_cell_length_a 9.057
_cell_length_b 9.057
_cell_length_c 9.057
_cell_angle_alpha 109.82
_cell_angle_beta 109.82
_cell_angle_gamma 109.82
loop_
_symmetry_equiv_pos_as_xyz
'x,y,z'
loop_
_atom_site_label
_atom_site_fract_x
_atom_site_fract_y
_atom_site_fract_z
Pm1 0.105 0.251 0.662
Pm2 0.126 0.414 0.334
Pm3 0.251 0.662 0.105
Pm4 0.334 0.126 0.414
Pm5 0.338 0.895 0.749
Pm6 0.414 0.334 0.126
Pm7 0.586 0.666 0.874
Pm8 0.662 0.105 0.251
Pm9 0.666 0.874 0.586
Pm10 0.749 0.338 0.895
Pm11 0.874 0.586 0.666
Pm12 0.895 0.749 0.338
Tm1 0.000 0.000 0.000
Ru1 0.050 0.287 0.947
Ru2 0.053 0.950 0.713
Ru3 0.287 0.947 0.050
Ru4 0.500 0.500 0.500
Ru5 0.713 0.053 0.950
Ru6 0.947 0.050 0.287
Ru7 0.950 0.713 0.053

[2]
# CuTcCl2 | the Alexandria database | PBE | optimized geometry
# Total energy (eV per atom): -4.509
# Calculated volume (Å³/cell): 91.0
# Fermi-level density of states (states/eV/atom): 0.634
# Raw formation energy (eV per atom): 0.03
# Offset from the most stable computed form (eV per atom): 0.035
# SG: C2/m (12)
data_CuTcCl2
_chemical_formula_sum 'Cu1 Tc1 Cl2'
_symmetry_space_group_name_H-M 'P 1'
_symmetry_Int_Tables_number 1
_cell_length_a 7.447
_cell_length_b 7.447
_cell_length_c 4.435
_cell_angle_alpha 107.21
_cell_angle_beta 107.21
_cell_angle_gamma 22.85
loop_
_symmetry_equiv_pos_as_xyz
'x,y,z'
loop_
_atom_site_label
_atom_site_fract_x
_atom_site_fract_y
_atom_site_fract_z
Cu1 0.000 0.000 0.000
Tc1 0.500 0.500 0.500
Cl1 0.137 0.137 0.638
Cl2 0.863 0.863 0.362

[3]
# Zn4TcSb | the Alexandria database | PBE | optimized geometry
# Total energy (eV per atom): -3.087
# Calculated volume (Å³/cell): 93.8
# Fermi-level density of states (states/eV/atom): 0.526
# Raw formation energy (eV per atom): 0.18
# SG: F-43m (216)
data_Zn4TcSb
_chemical_formula_sum 'Zn4 Tc1 Sb1'
_symmetry_space_group_name_H-M 'P 1'
_symmetry_Int_Tables_number 1
_cell_length_a 5.100
_cell_length_b 5.100
_cell_length_c 5.100
_cell_angle_alpha 60.00
_cell_angle_beta 60.00
_cell_angle_gamma 60.00
loop_
_symmetry_equiv_pos_as_xyz
'x,y,z'
loop_
_atom_site_label
_atom_site_fract_x
_atom_site_fract_y
_atom_site_fract_z
Zn1 0.124 0.124 0.124
Zn2 0.124 0.124 0.629
Zn3 0.124 0.629 0.124
Zn4 0.629 0.124 0.124
Tc1 0.750 0.750 0.750
Sb1 0.500 0.500 0.500

[4]
# MnCrFeIr | the Alexandria database | PBE | optimized geometry
# Total energy (eV per atom): -9.012
# Formation energy (meV/atom): 18
# Calculated volume (Å³/cell): 51.8
# Fermi-level density of states (states/eV/atom): 1.204
# SG: F-43m (216)
data_MnCrFeIr
_chemical_formula_sum 'Mn1 Cr1 Fe1 Ir1'
_symmetry_space_group_name_H-M 'P 1'
_symmetry_Int_Tables_number 1
_cell_length_a 4.185
_cell_length_b 4.185
_cell_length_c 4.185
_cell_angle_alpha 60.00
_cell_angle_beta 60.00
_cell_angle_gamma 60.00
loop_
_symmetry_equiv_pos_as_xyz
'x,y,z'
loop_
_atom_site_label
_atom_site_fract_x
_atom_site_fract_y
_atom_site_fract_z
Mn1 0.000 0.000 0.000
Cr1 0.250 0.250 0.250
Fe1 0.500 0.500 0.500
Ir1 0.750 0.750 0.750

[5]
# Ho2TmGa2Cu2 | the Alexandria database | PBE | optimized geometry
# Total energy (eV per atom): -4.379
# Formation energy (meV/atom): -397
# Calculated volume (Å³/cell): 148.6
# Fermi-level density of states (states/eV/atom): 0.565
# SG: R-3m (166)
data_Ho2TmGa2Cu2
_chemical_formula_sum 'Ho2 Tm1 Ga2 Cu2'
_symmetry_space_group_name_H-M 'P 1'
_symmetry_Int_Tables_number 1
_cell_length_a 9.425
_cell_length_b 9.425
_cell_length_c 9.425
_cell_angle_alpha 26.66
_cell_angle_beta 26.66
_cell_angle_gamma 26.66
loop_
_symmetry_equiv_pos_as_xyz
'x,y,z'
loop_
_atom_site_label
_atom_site_fract_x
_atom_site_fract_y
_atom_site_fract_z
Ho1 0.123 0.123 0.123
Ho2 0.877 0.877 0.877
Tm1 0.000 0.000 0.000
Ga1 0.265 0.265 0.265
Ga2 0.735 0.735 0.735
Cu1 0.396 0.396 0.396
Cu2 0.604 0.604 0.604

[6]
# CrAgTe2 | the Alexandria database | PBE | optimized geometry
# Total energy (eV per atom): -4.426
# Calculated volume (Å³/cell): 99.5
# Fermi-level density of states (states/eV/atom): 0.493
# Raw formation energy (eV per atom): 0.26
# SG: I-4m2 (119)
data_CrAgTe2
_chemical_formula_sum 'Cr1 Ag1 Te2'
_symmetry_space_group_name_H-M 'P 1'
_symmetry_Int_Tables_number 1
_cell_length_a 6.784
_cell_length_b 6.784
_cell_length_c 6.784
_cell_angle_alpha 145.54
_cell_angle_beta 145.54
_cell_angle_gamma 49.53
loop_
_symmetry_equiv_pos_as_xyz
'x,y,z'
loop_
_atom_site_label
_atom_site_fract_x
_atom_site_fract_y
_atom_site_fract_z
Cr1 0.000 0.000 0.000
Ag1 0.750 0.250 0.500
Te1 0.250 0.750 0.500
Te2 0.500 0.500 0.000

[7]
# CaSmAlHg | the Alexandria database | PBE | optimized geometry
# Total energy (eV per atom): -3.090
# Formation energy (meV/atom): -399
# Calculated volume (Å³/cell): 105.9
# Fermi-level density of states (states/eV/atom): 0.503
# Offset from the most stable computed form (eV per atom): 0.010
# SG: F-43m (216)
data_CaSmAlHg
_chemical_formula_sum 'Ca1 Sm1 Al1 Hg1'
_symmetry_space_group_name_H-M 'P 1'
_symmetry_Int_Tables_number 1
_cell_length_a 5.310
_cell_length_b 5.310
_cell_length_c 5.310
_cell_angle_alpha 60.00
_cell_angle_beta 60.00
_cell_angle_gamma 60.00
loop_
_symmetry_equiv_pos_as_xyz
'x,y,z'
loop_
_atom_site_label
_atom_site_fract_x
_atom_site_fract_y
_atom_site_fract_z
Ca1 0.000 0.000 0.000
Sm1 0.500 0.500 0.500
Al1 0.250 0.250 0.250
Hg1 0.750 0.750 0.750

[8]
# Ho3Tm7Sc | the Alexandria database | PBE | optimized geometry
# Total energy (eV per atom): -4.503
# Formation energy (meV/atom): 166
# Calculated volume (Å³/cell): 337.2
# Fermi-level density of states (states/eV/atom): 1.546
# Offset from the most stable computed form (eV per atom): 0.000
# SG: P2/m (10)
data_Ho3Tm7Sc
_chemical_formula_sum 'Ho3 Tm7 Sc1'
_symmetry_space_group_name_H-M 'P 1'
_symmetry_Int_Tables_number 1
_cell_length_a 6.681
_cell_length_b 5.350
_cell_length_c 9.726
_cell_angle_alpha 90.00
_cell_angle_beta 104.09
_cell_angle_gamma 90.00
loop_
_symmetry_equiv_pos_as_xyz
'x,y,z'
loop_
_atom_site_label
_atom_site_fract_x
_atom_site_fract_y
_atom_site_fract_z
Ho1 0.000 0.000 0.000
Ho2 0.268 0.500 0.478
Ho3 0.732 0.500 0.522
Tm1 0.000 0.000 0.500
Tm2 0.167 0.500 0.785
Tm3 0.314 0.500 0.124
Tm4 0.466 0.000 0.327
Tm5 0.534 0.000 0.673
Tm6 0.686 0.500 0.876
Tm7 0.833 0.500 0.215
Sc1 0.500 0.000 0.000

[9]
# NdThRu | the Alexandria database | PBE | optimized geometry
# Total energy (eV per atom): -7.347
# Formation energy (meV/atom): -193
# Calculated volume (Å³/cell): 76.6
# Fermi-level density of states (states/eV/atom): 1.123
# Offset from the most stable computed form (eV per atom): 0.071
# SG: I4mm (107)
data_NdThRu
_chemical_formula_sum 'Nd1 Th1 Ru1'
_symmetry_space_group_name_H-M 'P 1'
_symmetry_Int_Tables_number 1
_cell_length_a 6.383
_cell_length_b 6.383
_cell_length_c 6.383
_cell_angle_alpha 147.07
_cell_angle_beta 147.07
_cell_angle_gamma 47.26
loop_
_symmetry_equiv_pos_as_xyz
'x,y,z'
loop_
_atom_site_label
_atom_site_fract_x
_atom_site_fract_y
_atom_site_fract_z
Nd1 0.000 0.000 0.000
Th1 0.290 0.290 0.000
Ru1 0.676 0.676 0.000

Which of these has the lowest calculated volume?
MnCrFeIr